# TaPb | Alexandria | PBE-GGA | relaxed
data_TaPb
_cell_length_a 5.257
_cell_length_b 3.088
_cell_length_c 5.397
_cell_angle_alpha 90.00
_cell_angle_beta 90.00
_cell_angle_gamma 90.00
_space_group_name_H-M_alt 'P m m a'
_space_group_IT_number 51
loop_
_space_group_symop_operation_xyz
'x,y,z'
'-x,-y,-z'
'-x+1/2,-y,z'
'x+1/2,y,-z'
'x+1/2,-y,-z'
'-x+1/2,y,z'
'-x,y,-z'
'x,-y,z'
loop_
_atom_site_label
_atom_site_type_symbol
_atom_site_fract_x
_atom_site_fract_y
_atom_site_fract_z
Ta1 Ta 0.250 0.000 0.155
Pb1 Pb 0.250 0.500 0.677
# Distance to the lowest polymorph of the same formula ... 424 meV per atom



# TaPb | Alexandria | PBE-GGA | relaxed
data_TaPb
_cell_length_a 5.567
_cell_length_b 5.567
_cell_length_c 5.567
_cell_angle_alpha 90.00
_cell_angle_beta 90.00
_cell_angle_gamma 90.00
_space_group_name_H-M_alt 'P 21 3'
_space_group_IT_number 198
_space_group_name_Hall 'P 2ac 2ab 3'
loop_
_atom_site_label
_atom_site_type_symbol
_atom_site_fract_x
_atom_site_fract_y
_atom_site_fract_z
Ta1 Ta 0.111 0.111 0.111
Pb1 Pb 0.096 0.596 0.904
# Distance to the lowest polymorph of the same formula ... 257 meV per atom



Ta3Pb | PBE-GGA | relaxed

```
data_Ta3Pb
_cell_length_a 3.0701
_cell_length_b 3.0701
_cell_length_c 9.9228
_cell_angle_alpha 90.00
_cell_angle_beta 90.00
_cell_angle_gamma 120.00
_space_group_name_H-M_alt 'P -6 m 2'
_space_group_IT_number 187
_space_group_name_Hall 'P -6 2'
loop_
_atom_site_label
_atom_site_type_symbol
_atom_site_fract_x
_atom_site_fract_y
_atom_site_fract_z
Ta1 Ta 0.0000 0.0000 0.0000
Ta2 Ta 0.6667 0.3333 0.2412
Pb1 Pb 0.0000 0.0000 0.5000
```



# TaPb | Alexandria | PBE-GGA | relaxed
data_TaPb
_cell_length_a 3.532
_cell_length_b 5.062
_cell_length_c 11.030
_cell_angle_alpha 90.00
_cell_angle_beta 90.00
_cell_angle_gamma 90.00
_space_group_name_H-M_alt 'C m m e'
_space_group_IT_number 67
_space_group_name_Hall '-C 2a 2'
loop_
_atom_site_label
_atom_site_type_symbol
_atom_site_fract_x
_atom_site_fract_y
_atom_site_fract_z
Ta1 Ta 0.000 0.250 0.095
Pb1 Pb 0.000 0.250 0.671
# Distance to the lowest polymorph of the same formula ... 0 meV per atom



Ta3Pb4 | PBE-GGA | relaxed

```
data_Ta3Pb4
_cell_length_a 5.7556
_cell_length_b 5.7556
_cell_length_c 5.7422
_cell_angle_alpha 90.00
_cell_angle_beta 90.00
_cell_angle_gamma 120.00
_space_group_name_H-M_alt 'P 6/m m m'
_space_group_IT_number 191
_space_group_name_Hall '-P 6 2'
loop_
_atom_site_label
_atom_site_type_symbol
_atom_site_fract_x
_atom_site_fract_y
_atom_site_fract_z
Ta1 Ta 0.0000 0.5000 0.0000
Pb1 Pb 0.0000 0.0000 0.2486
Pb2 Pb 0.3333 0.6667 0.5000
```



# TaPb | Alexandria | PBE-GGA | relaxed
data_TaPb
_cell_length_a 5.1270
_cell_length_b 5.1270
_cell_length_c 8.4489
_cell_angle_alpha 90.00
_cell_angle_beta 90.00
_cell_angle_gamma 120.00
_space_group_name_H-M_alt 'P 63/m m c'
_space_group_IT_number 194
_space_group_name_Hall '-P 6c 2c'
loop_
_atom_site_label
_atom_site_type_symbol
_atom_site_fract_x
_atom_site_fract_y
_atom_site_fract_z
Ta1 Ta 0.3333 0.6667 0.0812
Pb1 Pb 0.0000 0.0000 0.2500
Pb2 Pb 0.3333 0.6667 0.7500
# Distance to the lowest polymorph of the same formula ... 753 meV per atom



Asked for formation energy across the records above, the calculation gives 0.72, 0.55, 0.47, 0.29, 0.49, 1.05 eV per atom in order.